(A)
A geometry-optimized SrTcAu3 structure, computed with GGA-PBE.

CIF file:
```
data_SrTcAu3
_symmetry_space_group_name_H-M 'P m -3 m'
_symmetry_Int_Tables_number 221
_symmetry_space_group_name_Hall '-P 4 2 3'
_cell_length_a 5.621
_cell_length_b 5.621
_cell_length_c 5.621
_cell_angle_alpha 90.00
_cell_angle_beta 90.00
_cell_angle_gamma 90.00
loop_
_atom_site_label
_atom_site_fract_x
_atom_site_fract_y
_atom_site_fract_z
Sr1 0.000 0.000 0.000
Tc1 0.500 0.500 0.500
Au1 0.000 0.000 0.500
```

For the density of states at the Fermi level, the calculation gives 3.8 states/eV per cell.

=====

(B)
A geometry-optimized SrTcAu3 structure, computed with GGA-PBE.

CIF file:
```
data_SrTcAu3
_symmetry_space_group_name_H-M 'P m -3 m'
_symmetry_Int_Tables_number 221
_symmetry_space_group_name_Hall '-P 4 2 3'
_cell_length_a 5.114
_cell_length_b 5.114
_cell_length_c 5.114
_cell_angle_alpha 90.00
_cell_angle_beta 90.00
_cell_angle_gamma 90.00
loop_
_atom_site_label
_atom_site_fract_x
_atom_site_fract_y
_atom_site_fract_z
Sr1 0.000 0.000 0.000
Tc1 0.500 0.500 0.500
Au1 0.000 0.500 0.500
```

For the density of states at the Fermi level, the calculation gives 3.6 states/eV per cell.

=====

Relative stability in meV/atom, measured from the most stable structure: (A) 1155; (B) 0

=====

(A)
A geometry-optimized SrThAu2 structure, computed with GGA-PBE.

CIF file:
```
data_SrThAu2
_symmetry_space_group_name_H-M 'P 4/m m m'
_symmetry_Int_Tables_number 123
_symmetry_space_group_name_Hall '-P 4 2'
_cell_length_a 3.744
_cell_length_b 3.744
_cell_length_c 7.800
_cell_angle_alpha 90.00
_cell_angle_beta 90.00
_cell_angle_gamma 90.00
loop_
_atom_site_label
_atom_site_fract_x
_atom_site_fract_y
_atom_site_fract_z
Sr1 0.000 0.000 0.000
Th1 0.000 0.000 0.500
Au1 0.500 0.500 0.278
```

For the density of states at the Fermi level, the calculation gives 3.5 states/eV per cell.

=====

(B)
A geometry-optimized SrThAu2 structure, computed with GGA-PBE.

CIF file:
```
data_SrThAu2
_symmetry_space_group_name_H-M 'R 3 m'
_symmetry_Int_Tables_number 160
_symmetry_space_group_name_Hall 'R 3 -2"'
_cell_length_a 4.2044
_cell_length_b 4.2044
_cell_length_c 24.0018
_cell_angle_alpha 90.00
_cell_angle_beta 90.00
_cell_angle_gamma 120.00
loop_
_atom_site_label
_atom_site_fract_x
_atom_site_fract_y
_atom_site_fract_z
Sr1 0.0000 0.0000 0.0000
Th1 0.0000 0.0000 0.1700
Au1 0.0000 0.0000 0.5774
Au2 0.0000 0.0000 0.7614
```

For the density of states at the Fermi level, the calculation gives 10.5 states/eV per cell.

=====

(C)
A geometry-optimized SrThAu2 structure, computed with GGA-PBE.

CIF file:
```
data_SrThAu2
_symmetry_space_group_name_H-M 'F m -3 m'
_symmetry_Int_Tables_number 225
_symmetry_space_group_name_Hall '-F 4 2 3'
_cell_length_a 7.517
_cell_length_b 7.517
_cell_length_c 7.517
_cell_angle_alpha 90.00
_cell_angle_beta 90.00
_cell_angle_gamma 90.00
loop_
_atom_site_label
_atom_site_fract_x
_atom_site_fract_y
_atom_site_fract_z
Sr1 0.000 0.000 0.000
Th1 0.000 0.000 0.500
Au1 0.250 0.250 0.250
```

For the density of states at the Fermi level, the calculation gives 17.7 states/eV per cell.

=====

Relative stability in meV/atom, measured from the most stable structure: (A) 0; (B) 68; (C) 78

=====

(A)
A geometry-optimized SrTiAu2 structure, computed with GGA-PBE.

CIF file:
```
data_SrTiAu2
_symmetry_space_group_name_H-M 'P 4/m m m'
_symmetry_Int_Tables_number 123
_symmetry_space_group_name_Hall '-P 4 2'
_cell_length_a 3.436
_cell_length_b 3.436
_cell_length_c 7.462
_cell_angle_alpha 90.00
_cell_angle_beta 90.00
_cell_angle_gamma 90.00
loop_
_atom_site_label
_atom_site_fract_x
_atom_site_fract_y
_atom_site_fract_z
Sr1 0.000 0.000 0.000
Ti1 0.000 0.000 0.500
Au1 0.500 0.500 0.304
```

For the density of states at the Fermi level, the calculation gives 4.5 states/eV per cell.

=====

(B)
A geometry-optimized SrTiAu2 structure, computed with GGA-PBE.

CIF file:
```
data_SrTiAu2
_symmetry_space_group_name_H-M 'I -4 2 d'
_symmetry_Int_Tables_number 122
_symmetry_space_group_name_Hall 'I -4 2bw'
_cell_length_a 7.719
_cell_length_b 7.719
_cell_length_c 7.077
_cell_angle_alpha 90.00
_cell_angle_beta 90.00
_cell_angle_gamma 90.00
loop_
_atom_site_label
_atom_site_fract_x
_atom_site_fract_y
_atom_site_fract_z
Sr1 0.000 0.000 0.000
Ti1 0.000 0.000 0.500
Au1 0.188 0.750 0.625
```

For the density of states at the Fermi level, the calculation gives 13.6 states/eV per cell.

=====

Relative stability in meV/atom, measured from the most stable structure: (A) 0; (B) 292

=====

(A)
A geometry-optimized Sr2Tl3Au structure, computed with GGA-PBE.

CIF file:
```
data_Sr2Tl3Au
_symmetry_space_group_name_H-M 'F m m m'
_symmetry_Int_Tables_number 69
_symmetry_space_group_name_Hall '-F 2 2'
_cell_length_a 7.803
_cell_length_b 10.360
_cell_length_c 17.923
_cell_angle_alpha 90.00
_cell_angle_beta 90.00
_cell_angle_gamma 90.00
loop_
_atom_site_label
_atom_site_fract_x
_atom_site_fract_y
_atom_site_fract_z
Sr1 0.247 0.000 0.000
Sr2 0.250 0.250 0.250
Tl1 0.000 0.000 0.328
Tl2 0.000 0.243 0.086
Au1 0.000 0.000 0.167
```

For the density of states at the Fermi level, the calculation gives 22.8 states/eV per cell.

=====

(B)
A geometry-optimized Sr2Tl3Au structure, computed with GGA-PBE.

CIF file:
```
data_Sr2Tl3Au
_symmetry_space_group_name_H-M 'P m m 2'
_symmetry_Int_Tables_number 25
_cell_length_a 3.996
_cell_length_b 5.135
_cell_length_c 8.946
_cell_angle_alpha 90.00
_cell_angle_beta 90.00
_cell_angle_gamma 90.00
loop_
_symmetry_equiv_pos_as_xyz
'x,y,z'
'-x,-y,z'
'-x,y,z'
'x,-y,z'
loop_
_atom_site_label
_atom_site_fract_x
_atom_site_fract_y
_atom_site_fract_z
Sr1 0.000 0.000 0.000
Sr2 0.000 0.500 0.460
Tl1 0.500 0.000 0.632
Tl2 0.500 0.500 0.152
Tl3 0.500 0.500 0.811
Au1 0.500 0.000 0.306
```

For the density of states at the Fermi level, the calculation gives 2.9 states/eV per cell.

=====

Relative stability in meV/atom, measured from the most stable structure: (A) 13; (B) 0

=====

(A)
A geometry-optimized Sr2Tl2Au structure, computed with GGA-PBE.

CIF file:
```
data_Sr2Tl2Au
_symmetry_space_group_name_H-M 'C 1 2/m 1'
_symmetry_Int_Tables_number 12
_cell_length_a 12.237
_cell_length_b 4.369
_cell_length_c 12.788
_cell_angle_alpha 90.00
_cell_angle_beta 111.35
_cell_angle_gamma 90.00
loop_
_symmetry_equiv_pos_as_xyz
'x,y,z'
'-x,-y,-z'
'-x,y,-z'
'x,-y,z'
'x+1/2,y+1/2,z'
'-x+1/2,-y+1/2,-z'
'-x+1/2,y+1/2,-z'
'x+1/2,-y+1/2,z'
loop_
_atom_site_label
_atom_site_fract_x
_atom_site_fract_y
_atom_site_fract_z
Sr1 0.007 0.000 0.170
Sr2 0.185 0.000 0.620
Tl1 0.044 0.500 0.395
Tl2 0.168 0.500 0.052
Au1 0.186 0.500 0.809
```

For the density of states at the Fermi level, the calculation gives 13.3 states/eV per cell.

=====

(B)
A geometry-optimized Sr2Tl2Au structure, computed with GGA-PBE.

CIF file:
```
data_Sr2Tl2Au
_symmetry_space_group_name_H-M 'C 1 2/m 1'
_symmetry_Int_Tables_number 12
_cell_length_a 12.694
_cell_length_b 4.553
_cell_length_c 12.335
_cell_angle_alpha 90.00
_cell_angle_beta 114.53
_cell_angle_gamma 90.00
loop_
_symmetry_equiv_pos_as_xyz
'x,y,z'
'-x,-y,-z'
'-x,y,-z'
'x,-y,z'
'x+1/2,y+1/2,z'
'-x+1/2,-y+1/2,-z'
'-x+1/2,y+1/2,-z'
'x+1/2,-y+1/2,z'
loop_
_atom_site_label
_atom_site_fract_x
_atom_site_fract_y
_atom_site_fract_z
Sr1 0.096 0.000 0.388
Sr2 0.176 0.000 0.098
Tl1 0.030 0.500 0.859
Tl2 0.113 0.500 0.623
Au1 0.228 0.500 0.306
```

For the density of states at the Fermi level, the calculation gives 12.6 states/eV per cell.

=====

(C)
A geometry-optimized Sr2Tl2Au structure, computed with GGA-PBE.

CIF file:
```
data_Sr2Tl2Au
_symmetry_space_group_name_H-M 'P 4/m b m'
_symmetry_Int_Tables_number 127
_symmetry_space_group_name_Hall '-P 4 2ab'
_cell_length_a 8.032
_cell_length_b 8.032
_cell_length_c 4.955
_cell_angle_alpha 90.00
_cell_angle_beta 90.00
_cell_angle_gamma 90.00
loop_
_atom_site_label
_atom_site_fract_x
_atom_site_fract_y
_atom_site_fract_z
Sr1 0.170 0.330 0.000
Tl1 0.137 0.637 0.500
Au1 0.000 0.000 0.500
```

For the density of states at the Fermi level, the calculation gives 4.4 states/eV per cell.

=====

Relative stability in meV/atom, measured from the most stable structure: (A) 0; (B) 16; (C) 134

=====

(A)
A geometry-optimized SrTmAu structure, computed with GGA-PBE.

CIF file:
```
data_SrTmAu
_symmetry_space_group_name_H-M 'I 4 m m'
_symmetry_Int_Tables_number 107
_symmetry_space_group_name_Hall 'I 4 -2'
_cell_length_a 3.736
_cell_length_b 3.736
_cell_length_c 13.144
_cell_angle_alpha 90.00
_cell_angle_beta 90.00
_cell_angle_gamma 90.00
loop_
_atom_site_label
_atom_site_fract_x
_atom_site_fract_y
_atom_site_fract_z
Sr1 0.000 0.000 0.000
Tm1 0.000 0.000 0.270
Au1 0.000 0.000 0.671
```

For the density of states at the Fermi level, the calculation gives 3.6 states/eV per cell.

=====

(B)
A geometry-optimized SrTmAu structure, computed with GGA-PBE.

CIF file:
```
data_SrTmAu
_symmetry_space_group_name_H-M 'P 3 m 1'
_symmetry_Int_Tables_number 156
_cell_length_a 4.9069
_cell_length_b 4.9069
_cell_length_c 4.6437
_cell_angle_alpha 90.00
_cell_angle_beta 90.00
_cell_angle_gamma 120.00
loop_
_symmetry_equiv_pos_as_xyz
'x,y,z'
'-y,x-y,z'
'-x+y,-x,z'
'-y,-x,z'
'-x+y,y,z'
'x,x-y,z'
loop_
_atom_site_label
_atom_site_fract_x
_atom_site_fract_y
_atom_site_fract_z
Sr1 0.0000 0.0000 0.0000
Tm1 0.6667 0.3333 0.4998
Au1 0.3333 0.6667 0.5043
```

For the density of states at the Fermi level, the calculation gives 2.4 states/eV per cell.

=====

(C)
A geometry-optimized SrTmAu structure, computed with GGA-PBE.

CIF file:
```
data_SrTmAu
_symmetry_space_group_name_H-M 'P 4/n m m'
_symmetry_Int_Tables_number 129
_cell_length_a 4.944
_cell_length_b 4.944
_cell_length_c 7.763
_cell_angle_alpha 90.00
_cell_angle_beta 90.00
_cell_angle_gamma 90.00
loop_
_symmetry_equiv_pos_as_xyz
'x,y,z'
'-x,-y,-z'
'-y+1/2,x,z'
'y+1/2,-x,-z'
'-x+1/2,-y+1/2,z'
'x+1/2,y+1/2,-z'
'y,-x+1/2,z'
'-y,x+1/2,-z'
'x+1/2,-y,-z'
'-x+1/2,y,z'
'-y,-x,-z'
'y,x,z'
'-x,y+1/2,-z'
'x,-y+1/2,z'
'y+1/2,x+1/2,-z'
'-y+1/2,-x+1/2,z'
loop_
_atom_site_label
_atom_site_fract_x
_atom_site_fract_y
_atom_site_fract_z
Sr1 0.250 0.250 0.130
Tm1 0.250 0.750 0.500
Au1 0.250 0.250 0.700
```

For the density of states at the Fermi level, the calculation gives 8.9 states/eV per cell.

=====

Relative stability in meV/atom, measured from the most stable structure: (A) 53; (B) 196; (C) 0

=====

(A)
A geometry-optimized SrTmAu2 structure, computed with GGA-PBE.

CIF file:
```
data_SrTmAu2
_symmetry_space_group_name_H-M 'R 3 m'
_symmetry_Int_Tables_number 160
_symmetry_space_group_name_Hall 'R 3 -2"'
_cell_length_a 4.1781
_cell_length_b 4.1781
_cell_length_c 22.7205
_cell_angle_alpha 90.00
_cell_angle_beta 90.00
_cell_angle_gamma 120.00
loop_
_atom_site_label
_atom_site_fract_x
_atom_site_fract_y
_atom_site_fract_z
Sr1 0.0000 0.0000 0.0000
Tm1 0.0000 0.0000 0.8301
Au1 0.0000 0.0000 0.2368
Au2 0.0000 0.0000 0.4267
```

For the density of states at the Fermi level, the calculation gives 6.7 states/eV per cell.

=====

(B)
A geometry-optimized SrTmAu2 structure, computed with GGA-PBE.

CIF file:
```
data_SrTmAu2
_symmetry_space_group_name_H-M 'R -3 m'
_symmetry_Int_Tables_number 166
_symmetry_space_group_name_Hall '-R 3 2"'
_cell_length_a 4.9433
_cell_length_b 4.9433
_cell_length_c 15.4249
_cell_angle_alpha 90.00
_cell_angle_beta 90.00
_cell_angle_gamma 120.00
loop_
_atom_site_label
_atom_site_fract_x
_atom_site_fract_y
_atom_site_fract_z
Sr1 0.0000 0.0000 0.0000
Tm1 0.0000 0.0000 0.5000
Au1 0.0000 0.0000 0.2120
```

For the density of states at the Fermi level, the calculation gives 7.6 states/eV per cell.

=====

Relative stability in meV/atom, measured from the most stable structure: (A) 31; (B) 0

=====

(A)
A geometry-optimized SrTmAu2 structure, computed with GGA-PBE.

CIF file:
```
data_SrTmAu2
_symmetry_space_group_name_H-M 'F m -3 m'
_symmetry_Int_Tables_number 225
_symmetry_space_group_name_Hall '-F 4 2 3'
_cell_length_a 7.359
_cell_length_b 7.359
_cell_length_c 7.359
_cell_angle_alpha 90.00
_cell_angle_beta 90.00
_cell_angle_gamma 90.00
loop_
_atom_site_label
_atom_site_fract_x
_atom_site_fract_y
_atom_site_fract_z
Sr1 0.000 0.000 0.000
Tm1 0.000 0.000 0.500
Au1 0.250 0.250 0.250
```

For the density of states at the Fermi level, the calculation gives 12.8 states/eV per cell.

=====

(B)
A geometry-optimized SrTmAu2 structure, computed with GGA-PBE.

CIF file:
```
data_SrTmAu2
_symmetry_space_group_name_H-M 'P 4/m m m'
_symmetry_Int_Tables_number 123
_symmetry_space_group_name_Hall '-P 4 2'
_cell_length_a 3.662
_cell_length_b 3.662
_cell_length_c 7.544
_cell_angle_alpha 90.00
_cell_angle_beta 90.00
_cell_angle_gamma 90.00
loop_
_atom_site_label
_atom_site_fract_x
_atom_site_fract_y
_atom_site_fract_z
Sr1 0.000 0.000 0.000
Tm1 0.000 0.000 0.500
Au1 0.500 0.500 0.292
```

For the density of states at the Fermi level, the calculation gives 2.8 states/eV per cell.

=====

Relative stability in meV/atom, measured from the most stable structure: (A) 107; (B) 0